Material: Hf4NpGa15
Method: DFT, PBE-GGA
State: relaxed

Results
ΔH_f (0 K): -653 kJ/mol of formula units
VASP energy: -104.921 eV for the cell shown
ρ: 9.4 g/cm³

Unit cell a=4.139 b=4.139 c=20.600 alpha=90.00 beta=90.00 gamma=90.00
Last column: magnetic moment on the atom in μB.
Sites, in units of the cell vectors:
Hf (0.000, 0.000, 0.794)  -0.05
Hf (0.000, 0.000, 0.206)  -0.05
Hf (0.000, 0.000, 0.599)  -0.02
Hf (0.000, 0.000, 0.401)  -0.02
Ga (0.000, 0.500, 0.697)  -0.01
Ga (0.000, 0.500, 0.105)  -0.01
Ga (0.500, 0.500, 0.598)  -0.01
Ga (0.500, 0.500, 0.797)  -0.01
Ga (0.500, 0.000, 0.105)  -0.01
Ga (0.500, 0.000, 0.697)  -0.01
Ga (0.500, 0.500, 0.000)  0.02
Ga (0.500, 0.000, 0.895)  -0.01
Ga (0.500, 0.500, 0.402)  -0.01
Ga (0.500, 0.000, 0.500)  -0.01
Ga (0.500, 0.500, 0.203)  -0.01
Ga (0.000, 0.500, 0.303)  -0.01
Ga (0.500, 0.000, 0.303)  -0.01
Ga (0.000, 0.500, 0.500)  -0.01
Ga (0.000, 0.500, 0.895)  -0.01
Np (0.000, 0.000, 0.000)  3.51